The following is a DFT calculation (GGA-PBE) of Nd3Y2Er6Sc after structural relaxation.

Results
Mass density: 7.31 g cm⁻³
Magnetization: 0.00 Bohr magnetons per cell
Formation energy: 32 meV/atom

```
data_Nd3Y2Er6Sc
_chemical_formula_sum 'Nd3 Y2 Er6 Sc1'
_symmetry_space_group_name_H-M 'P 1'
_symmetry_Int_Tables_number 1
_symmetry_space_group_name_Hall 'P 1'
_cell_length_a 6.143
_cell_length_b 6.143
_cell_length_c 11.708
_cell_angle_alpha 95.01
_cell_angle_beta 95.01
_cell_angle_gamma 119.97
loop_
_atom_site_label
_atom_site_fract_x
_atom_site_fract_y
_atom_site_fract_z
Nd1 0.000 0.000 0.000
Nd2 0.333 0.667 0.000
Nd3 0.667 0.333 0.000
Y1 0.166 0.834 0.500
Y2 0.834 0.166 0.500
Er1 0.089 0.419 0.255
Er2 0.251 0.251 0.745
Er3 0.419 0.089 0.255
Er4 0.581 0.911 0.745
Er5 0.749 0.749 0.255
Er6 0.911 0.581 0.745
Sc1 0.500 0.500 0.500
```

***

The following is a DFT calculation (GGA-PBE) of NdYEr5Sc2 after structural relaxation.

Results
Mass density: 6.97 g cm⁻³
Magnetization: 0.00 Bohr magnetons per cell
Formation energy: 173 meV/atom

```
data_NdYEr5Sc2
_chemical_formula_sum 'Nd2 Y2 Er10 Sc4'
_symmetry_space_group_name_H-M 'P 1'
_symmetry_Int_Tables_number 1
_symmetry_space_group_name_Hall 'P 1'
_cell_length_a 11.012
_cell_length_b 11.012
_cell_length_c 9.322
_cell_angle_alpha 90.00
_cell_angle_beta 90.00
_cell_angle_gamma 150.77
loop_
_atom_site_label
_atom_site_fract_x
_atom_site_fract_y
_atom_site_fract_z
Nd1 0.097 0.903 0.500
Nd2 0.903 0.097 0.000
Y1 0.310 0.690 0.103
Y2 0.690 0.310 0.603
Er1 0.031 0.969 0.833
Er2 0.109 0.891 0.127
Er3 0.192 0.808 0.806
Er4 0.235 0.765 0.419
Er5 0.492 0.508 0.107
Er6 0.508 0.492 0.607
Er7 0.765 0.235 0.919
Er8 0.808 0.192 0.306
Er9 0.891 0.109 0.627
Er10 0.969 0.031 0.333
Sc1 0.356 0.644 0.775
Sc2 0.387 0.613 0.408
Sc3 0.613 0.387 0.908
Sc4 0.644 0.356 0.275
```

***

The following is a DFT calculation (GGA-PBE) of NdYEr2Sc4 after structural relaxation.

Results
Mass density: 5.52 g cm⁻³
Magnetization: 0.01 Bohr magnetons per cell
Formation energy: 57 meV/atom

```
data_NdYEr2Sc4
_chemical_formula_sum 'Nd1 Y1 Er2 Sc4'
_symmetry_space_group_name_H-M 'P 1'
_symmetry_Int_Tables_number 1
_symmetry_space_group_name_Hall 'P 1'
_cell_length_a 4.911
_cell_length_b 4.911
_cell_length_c 9.319
_cell_angle_alpha 90.00
_cell_angle_beta 90.00
_cell_angle_gamma 90.00
loop_
_atom_site_label
_atom_site_fract_x
_atom_site_fract_y
_atom_site_fract_z
Nd1 0.000 0.000 0.000
Y1 0.500 0.500 0.500
Er1 0.000 0.000 0.500
Er2 0.500 0.500 0.000
Sc1 0.000 0.500 0.251
Sc2 0.000 0.500 0.749
Sc3 0.500 0.000 0.251
Sc4 0.500 0.000 0.749
```

***

The following is a DFT calculation (GGA-PBE) of Nd6YErSc2 after structural relaxation.

Results
Mass density: 6.19 g cm⁻³
Magnetization: 0.00 Bohr magnetons per cell
Formation energy: 123 meV/atom

```
data_Nd6YErSc2
_chemical_formula_sum 'Nd12 Y2 Er2 Sc4'
_symmetry_space_group_name_H-M 'P 1'
_symmetry_Int_Tables_number 1
_symmetry_space_group_name_Hall 'P 1'
_cell_length_a 8.831
_cell_length_b 8.831
_cell_length_c 9.550
_cell_angle_alpha 94.12
_cell_angle_beta 94.12
_cell_angle_gamma 118.12
loop_
_atom_site_label
_atom_site_fract_x
_atom_site_fract_y
_atom_site_fract_z
Nd1 0.010 0.560 0.186
Nd2 0.113 0.763 0.551
Nd3 0.237 0.887 0.949
Nd4 0.298 0.503 0.382
Nd5 0.440 0.990 0.314
Nd6 0.497 0.702 0.118
Nd7 0.503 0.298 0.882
Nd8 0.560 0.010 0.686
Nd9 0.702 0.497 0.618
Nd10 0.763 0.113 0.051
Nd11 0.887 0.237 0.449
Nd12 0.990 0.440 0.814
Y1 0.027 0.973 0.250
Y2 0.973 0.027 0.750
Er1 0.410 0.590 0.750
Er2 0.590 0.410 0.250
Sc1 0.198 0.299 0.048
Sc2 0.299 0.198 0.548
Sc3 0.701 0.802 0.452
Sc4 0.802 0.701 0.952
```

***

The following is a DFT calculation (GGA-PBE) of NdY3Er6Sc2 after structural relaxation.

Results
Mass density: 6.89 g cm⁻³
Magnetization: 0.00 Bohr magnetons per cell
Formation energy: 42 meV/atom

```
data_NdY3Er6Sc2
_chemical_formula_sum 'Nd1 Y3 Er6 Sc2'
_symmetry_space_group_name_H-M 'P 1'
_symmetry_Int_Tables_number 1
_symmetry_space_group_name_Hall 'P 1'
_cell_length_a 6.052
_cell_length_b 6.052
_cell_length_c 11.608
_cell_angle_alpha 94.97
_cell_angle_beta 94.97
_cell_angle_gamma 119.95
loop_
_atom_site_label
_atom_site_fract_x
_atom_site_fract_y
_atom_site_fract_z
Nd1 0.000 0.000 0.000
Y1 0.167 0.833 0.500
Y2 0.500 0.500 0.500
Y3 0.833 0.167 0.500
Er1 0.082 0.418 0.246
Er2 0.254 0.254 0.755
Er3 0.418 0.082 0.246
Er4 0.582 0.918 0.754
Er5 0.746 0.746 0.245
Er6 0.918 0.582 0.754
Sc1 0.333 0.667 0.000
Sc2 0.667 0.333 0.000
```

***

The following is a DFT calculation (GGA-PBE) of Nd6YEr2Sc after structural relaxation.

Results
Mass density: 6.67 g cm⁻³
Magnetization: 0.00 Bohr magnetons per cell
Formation energy: 126 meV/atom

```
data_Nd6YEr2Sc
_chemical_formula_sum 'Nd12 Y2 Er4 Sc2'
_symmetry_space_group_name_H-M 'P 1'
_symmetry_Int_Tables_number 1
_symmetry_space_group_name_Hall 'P 1'
_cell_length_a 8.940
_cell_length_b 8.940
_cell_length_c 9.453
_cell_angle_alpha 93.41
_cell_angle_beta 93.41
_cell_angle_gamma 117.78
loop_
_atom_site_label
_atom_site_fract_x
_atom_site_fract_y
_atom_site_fract_z
Nd1 0.006 0.441 0.805
Nd2 0.122 0.767 0.551
Nd3 0.233 0.878 0.949
Nd4 0.290 0.510 0.387
Nd5 0.441 0.006 0.305
Nd6 0.490 0.710 0.113
Nd7 0.510 0.290 0.887
Nd8 0.559 0.994 0.695
Nd9 0.710 0.490 0.613
Nd10 0.767 0.122 0.051
Nd11 0.878 0.233 0.449
Nd12 0.994 0.559 0.195
Y1 0.025 0.975 0.250
Y2 0.975 0.025 0.750
Er1 0.204 0.304 0.048
Er2 0.304 0.204 0.548
Er3 0.696 0.796 0.452
Er4 0.796 0.696 0.952
Sc1 0.420 0.580 0.750
Sc2 0.580 0.420 0.250
```

***

The following is a DFT calculation (GGA-PBE) of Nd5Y2ErSc after structural relaxation.

Results
Mass density: 6.10 g cm⁻³
Magnetization: 0.00 Bohr magnetons per cell
Formation energy: 122 meV/atom

```
data_Nd5Y2ErSc
_chemical_formula_sum 'Nd10 Y4 Er2 Sc2'
_symmetry_space_group_name_H-M 'P 1'
_symmetry_Int_Tables_number 1
_symmetry_space_group_name_Hall 'P 1'
_cell_length_a 11.312
_cell_length_b 11.312
_cell_length_c 10.230
_cell_angle_alpha 90.00
_cell_angle_beta 90.00
_cell_angle_gamma 152.46
loop_
_atom_site_label
_atom_site_fract_x
_atom_site_fract_y
_atom_site_fract_z
Nd1 0.000 0.000 0.000
Nd2 0.000 0.000 0.500
Nd3 0.126 0.874 0.750
Nd4 0.221 0.779 0.063
Nd5 0.221 0.779 0.437
Nd6 0.500 0.500 0.250
Nd7 0.500 0.500 0.750
Nd8 0.779 0.221 0.563
Nd9 0.779 0.221 0.937
Nd10 0.874 0.126 0.250
Y1 0.384 0.616 0.502
Y2 0.384 0.616 0.998
Y3 0.616 0.384 0.002
Y4 0.616 0.384 0.498
Er1 0.102 0.898 0.250
Er2 0.898 0.102 0.750
Sc1 0.286 0.714 0.750
Sc2 0.714 0.286 0.250
```

***

The following is a DFT calculation (GGA-PBE) of NdYErSc after structural relaxation.

Results
Mass density: 6.00 g cm⁻³
Magnetization: 0.00 Bohr magnetons per cell
Offset from the most stable computed form: 0.00 eV per formula unit
Formation energy: 104 meV/atom

```
data_NdYErSc
_chemical_formula_sum 'Nd1 Y1 Er1 Sc1'
_symmetry_space_group_name_H-M 'P 1'
_symmetry_Int_Tables_number 1
_symmetry_space_group_name_Hall 'P 1'
_cell_length_a 6.669
_cell_length_b 6.669
_cell_length_c 3.825
_cell_angle_alpha 106.64
_cell_angle_beta 106.64
_cell_angle_gamma 49.74
loop_
_atom_site_label
_atom_site_fract_x
_atom_site_fract_y
_atom_site_fract_z
Nd1 0.000 0.000 0.000
Y1 0.278 0.278 0.780
Er1 0.542 0.542 0.543
Sc1 0.769 0.769 0.270
```

***

The following is a DFT calculation (GGA-PBE) of NdY2Er2Sc after structural relaxation.

Results
Mass density: 6.12 g cm⁻³
Magnetization: 0.00 Bohr magnetons per cell
Formation energy: 276 meV/atom

```
data_NdY2Er2Sc
_chemical_formula_sum 'Nd2 Y4 Er4 Sc2'
_symmetry_space_group_name_H-M 'P 1'
_symmetry_Int_Tables_number 1
_symmetry_space_group_name_Hall 'P 1'
_cell_length_a 6.498
_cell_length_b 17.466
_cell_length_c 3.353
_cell_angle_alpha 90.00
_cell_angle_beta 90.00
_cell_angle_gamma 90.00
loop_
_atom_site_label
_atom_site_fract_x
_atom_site_fract_y
_atom_site_fract_z
Nd1 0.000 0.000 0.000
Nd2 0.500 0.500 0.500
Y1 0.246 0.316 0.000
Y2 0.254 0.816 0.500
Y3 0.746 0.184 0.500
Y4 0.754 0.684 0.000
Er1 0.247 0.146 0.500
Er2 0.253 0.646 0.000
Er3 0.747 0.354 0.000
Er4 0.753 0.854 0.500
Sc1 0.000 0.500 0.000
Sc2 0.500 0.000 0.500
```